VASP calculation (PBE) on a relaxed Au2I3Br8 crystal.

extended XYZ file:
```
26
Lattice="6.412 -4.413 0.000 6.412 4.413 0.000 -1.141 0.000 21.673" Properties=species:S:1:pos:R:3 pbc="T T T"
Au 2.903 2.281 19.419
Au 8.210 2.281 13.091
Au 3.473 -2.281 8.582
Au 8.781 -2.281 2.254
I 6.127 4.308 5.418
I 3.407 2.148 8.561
I 8.846 2.148 2.276
I 2.837 -2.148 19.398
I 8.276 -2.148 13.112
I 5.556 -4.308 16.255
Br 1.274 1.221 17.676
Br 4.665 3.440 20.897
Br 6.448 3.440 11.613
Br 3.660 0.075 2.868
Br 3.089 -0.075 13.705
Br 1.844 -1.221 6.840
Br 4.129 0.209 20.005
Br 4.699 -0.209 9.169
Br 6.984 0.209 12.505
Br 7.554 -0.209 1.668
Br 9.839 1.221 14.834
Br 8.594 0.075 7.968
Br 8.023 -0.075 18.805
Br 5.236 -3.440 10.060
Br 7.018 -3.440 0.776
Br 10.409 -1.221 3.997
```

Output
The value obtained for the spin magnetization is 0.00 μB per formula unit. Its calculated total energy is -1.92 eV per atom. Its formation energy from raw total energies is -0.027 eV/atom. Its symmetry is No. 15.